DFT (GGA-PBEsol) results for a relaxed structure of InMo2Se.

```
InMo2Se
1.0
4.520 0.000 0.000
2.260 3.914 0.000
2.260 1.305 3.690
In Se Mo
1 1 2
direct
0.000 0.000 0.000
0.500 0.500 0.500
0.250 0.250 0.250
0.750 0.750 0.750
```

Values from the calculation:
Formation energy (no corrections) = 0.464 eV/atom
Total energy = -7.13 eV per atom
Space group = Fm-3m (225)

DFT (GGA-PBEsol) results for a relaxed structure of In2MoSe.

```
In2MoSe
1.0
4.831 0.000 0.000
2.415 4.184 0.000
2.415 1.395 3.944
In Mo Se
2 1 1
direct
0.250 0.250 0.250
0.000 0.000 0.000
0.500 0.500 0.500
0.750 0.750 0.750
```

Values from the calculation:
Formation energy (no corrections) = 0.544 eV/atom
Total energy = -4.85 eV per atom
Space group = F-43m (216)

DFT (GGA-PBEsol) results for a relaxed structure of ZrIn2MoSe.

```
ZrIn2MoSe
1.0
-4.161 -0.403 1.911
1.464 -4.473 2.243
1.663 2.639 4.178
In Se Zr Mo
2 1 1 1
direct
0.000 0.500 0.000
0.000 0.000 0.500
0.500 0.000 0.000
0.500 0.500 0.500
0.000 0.000 0.000
```

Values from the calculation:
Formation energy (no corrections) = 0.684 eV/atom
Total energy = -5.45 eV per atom
Space group = P4/mmm (123)

DFT (GGA-PBEsol) results for a relaxed structure of In2SiMo.

```
In2SiMo
1.0
3.751 0.000 0.000
0.000 3.850 0.000
0.000 -1.925 5.236
Si In Mo
1 2 1
direct
0.500 0.547 0.095
0.500 0.282 0.565
0.000 0.972 0.945
0.000 0.694 0.389
```

Values from the calculation:
Formation energy (no corrections) = 0.143 eV/atom
Total energy = -5.73 eV per atom
Space group = Amm2 (38)

DFT (GGA-PBEsol) results for a relaxed structure of InSiMo.

```
InSiMo
1.0
-1.424 2.373 -0.670
-0.648 -0.375 2.747
6.232 2.604 0.679
Mo Si In
1 1 1
direct
0.680 0.680 0.360
0.315 0.315 0.630
0.005 0.005 0.011
```

Values from the calculation:
Formation energy (no corrections) = 0.326 eV/atom
Total energy = -6.51 eV per atom
Space group = Fmm2 (42)

DFT (GGA-PBEsol) results for a relaxed structure of InSiMo.

```
InSiMo
1.0
-0.938 -2.843 0.338
2.878 0.710 0.534
-1.469 1.232 6.282
In Si Mo
1 1 1
direct
0.000 0.000 0.994
0.333 0.667 0.364
0.667 0.333 0.641
```

Values from the calculation:
Formation energy (no corrections) = 0.229 eV/atom
Total energy = -6.60 eV per atom
Space group = P3m1 (156)

DFT (GGA-PBEsol) results for a relaxed structure of InSiMo4.

```
InSiMo4
1.0
-2.113 1.471 4.523
1.534 -2.241 4.440
2.827 2.699 3.437
In Mo Si
1 4 1
direct
0.000 0.000 0.000
0.875 0.375 0.375
0.375 0.375 0.875
0.375 0.375 0.375
0.375 0.875 0.375
0.750 0.750 0.750
```

Values from the calculation:
Formation energy (no corrections) = 0.483 eV/atom
Total energy = -8.82 eV per atom
Space group = F-43m (216)

DFT (GGA-PBEsol) results for a relaxed structure of In2SiMo.

```
In2SiMo
1.0
-2.010 1.557 -1.548
0.472 -2.432 -1.651
-6.551 -4.187 4.294
In Mo Si
2 1 1
direct
0.000 0.000 0.022
0.500 0.500 0.719
0.000 0.000 0.473
0.500 0.500 0.286
```

Values from the calculation:
Formation energy (no corrections) = 0.249 eV/atom
Total energy = -5.62 eV per atom
Space group = Cmm2 (35)

DFT (GGA-PBEsol) results for a relaxed structure of In2SiTeMo.

```
In2SiTeMo
1.0
4.614 0.000 0.000
0.000 5.339 0.000
0.000 0.000 5.339
In Si Mo Te
2 1 1 1
direct
0.000 0.000 0.500
0.000 0.500 0.000
0.500 0.000 0.000
0.000 0.000 0.000
0.500 0.500 0.500
```

Values from the calculation:
Formation energy (no corrections) = 0.632 eV/atom
Total energy = -4.77 eV per atom
Space group = P4/mmm (123)

DFT (GGA-PBEsol) results for a relaxed structure of SrInMo.

```
SrInMo
1.0
4.928 0.000 0.000
2.464 4.268 0.000
2.464 1.423 4.024
In Mo Sr
1 1 1
direct
0.500 0.500 0.500
0.250 0.250 0.250
0.000 0.000 0.000
```

Values from the calculation:
Total energy = -4.56 eV per atom
Formation enthalpy at 0 K = 0.967 eV/atom
Space group = F-43m (216)

DFT (GGA-PBEsol) results for a relaxed structure of Sr3InMo.

```
Sr3InMo
1.0
6.188 0.000 0.000
0.000 6.188 0.000
0.000 0.000 6.188
Sr Mo In
3 1 1
direct
0.500 0.000 0.000
0.000 0.000 0.500
0.000 0.500 0.000
0.500 0.500 0.500
0.000 0.000 0.000
```

Values from the calculation:
Total energy = -3.02 eV per atom
Formation enthalpy at 0 K = 1.038 eV/atom
Space group = Pm-3m (221)

DFT (GGA-PBEsol) results for a relaxed structure of SrIn2Mo.

```
SrIn2Mo
1.0
5.088 0.000 0.000
2.544 4.407 0.000
2.544 1.469 4.155
Sr Mo In
1 1 2
direct
0.500 0.500 0.500
0.000 0.000 0.000
0.250 0.250 0.250
0.750 0.750 0.750
```

Values from the calculation:
Total energy = -4.52 eV per atom
Formation enthalpy at 0 K = 0.374 eV/atom
Space group = Fm-3m (225)

Which value of total energy does entry 9 give? -4.77 eV per atom

The highest total energy belongs to which entry? Sr3InMo

Repeat the tenth record exactly.
DFT (GGA-PBEsol) results for a relaxed structure of SrInMo.

```
SrInMo
1.0
4.928 0.000 0.000
2.464 4.268 0.000
2.464 1.423 4.024
In Mo Sr
1 1 1
direct
0.500 0.500 0.500
0.250 0.250 0.250
0.000 0.000 0.000
```

Values from the calculation:
Total energy = -4.56 eV per atom
Formation enthalpy at 0 K = 0.967 eV/atom
Space group = F-43m (216)